[1]
4
Lattice="5.233 0.000 0.000 2.617 4.532 0.000 2.617 1.511 4.273" Properties=species:S:1:pos:R:3 comment="YErInAg | Alexandria | PBE-GGA | relaxed" total_magnetization_mub_per_fu=0.00 delta_e_f_ev_per_atom=-0.41 pbc="T T T"
Er 2.617 1.511 1.068
Ag 0.000 0.000 0.000
In 5.233 3.021 2.136
Y 7.850 4.532 3.205



[2]
5
Lattice="5.102 0.000 0.000 0.000 5.102 0.000 0.000 0.000 5.102" Properties=species:S:1:pos:R:3 comment="TlPt3I | Alexandria | PBE-GGA | relaxed" total_magnetization_mub_per_fu=0.00 polymorph_energy_ev_per_atom=0.4296 raw_formation_energy_ev_per_atom=1.243 pbc="T T T"
Pt 0.000 2.551 0.000
Pt 0.000 0.000 2.551
Pt 2.551 0.000 0.000
Tl 0.000 0.000 0.000
I 2.551 2.551 2.551



[3]
5
Lattice="-3.131 0.319 -4.179 -0.940 -5.137 0.313 -4.085 0.938 3.132" Properties=species:S:1:pos:R:3 comment="TiRuPb3 | Alexandria | PBE-GGA | relaxed" total_magnetization_mub_per_fu=0.32 delta_e_f_ev_per_atom=0.84 polymorph_energy_ev_per_atom=0.0000 pbc="T T T"
Ti -4.078 -1.940 -0.367
Pb -1.566 0.159 -2.090
Pb -0.470 -2.569 0.156
Pb -2.042 0.469 1.566
Ru 0.000 0.000 0.000



[4]
4
Lattice="3.845 0.000 0.000 0.000 3.723 -0.311 0.000 0.778 8.919" Properties=species:S:1:pos:R:3 comment="LiLa2Br | Alexandria | PBE-GGA | relaxed" total_magnetization_mub_per_fu=0.00 polymorph_energy_ev_per_atom=0.1061 raw_formation_energy_ev_per_atom=-0.444 pbc="T T T"
Br 1.923 3.376 6.457
La 0.000 3.154 4.013
La 0.000 2.820 -0.019
Li 1.923 1.125 2.152



[5]
4
Lattice="-2.250 -1.278 -1.169 1.171 -2.535 0.517 -4.041 -0.229 8.029" Properties=species:S:1:pos:R:3 comment="LaTc2Pt | Alexandria | PBE-GGA | relaxed" total_magnetization_mub_per_fu=0.00 delta_e_f_ev_per_atom=0.34 polymorph_energy_ev_per_atom=0.4677 pbc="T T T"
La -1.550 -1.964 1.681
Pt -3.570 -2.078 5.696
Tc -3.884 -0.220 7.718
Tc -2.177 -0.123 4.326



[6]
5
Lattice="-5.060 -1.566 0.126 1.423 -4.389 2.603 -2.666 0.233 7.240" Properties=species:S:1:pos:R:3 comment="Ba2CaAu2 | Alexandria | PBE-GGA | relaxed" total_magnetization_mub_per_fu=0.00 delta_e_f_ev_per_atom=-0.35 polymorph_energy_ev_per_atom=0.2721 pbc="T T T"
Ba -1.531 -3.567 5.604
Ba -4.772 -2.155 4.365
Au -4.311 -3.400 7.406
Au -1.991 -2.322 2.563
Ca 0.000 0.000 0.000



[7]
20
Lattice="-3.057 -0.552 -6.211 6.655 -1.417 -6.433 -2.159 -9.000 -1.421" Properties=species:S:1:pos:R:3 comment="LiGaGe2Se6 | Alexandria | PBE-GGA | relaxed" total_magnetization_mub_per_fu=0.00 polymorph_energy_ev_per_atom=0.0948 raw_formation_energy_ev_per_atom=-0.420 pbc="T T T"
Ge -1.589 -4.034 -6.259
Ge 3.028 -6.935 -7.806
Ge 0.045 -8.462 -10.085
Ge 1.394 -2.507 -3.980
Se 3.925 -4.911 -8.788
Se -2.985 -2.099 -5.977
Se -1.835 -4.794 -8.551
Se 3.275 -6.175 -5.514
Se 4.424 -8.869 -8.087
Se 0.756 -3.603 -6.050
Se 1.546 -10.306 -10.426
Se 0.683 -7.366 -8.015
Se -2.486 -6.058 -5.277
Se 3.595 -1.865 -4.760
Se -2.155 -9.103 -9.305
Se -0.107 -0.663 -3.639
Ga 2.675 -3.283 -10.132
Ga -1.235 -7.686 -3.933
Li 4.177 -3.030 -7.011
Li -2.737 -7.939 -7.054



[8]
4
Lattice="-8.827 4.820 -0.472 -9.242 2.460 -3.147 -9.956 1.485 0.234" Properties=species:S:1:pos:R:3 comment="CaSb2Cl | Alexandria | PBE-GGA | relaxed" total_magnetization_mub_per_fu=0.00 polymorph_energy_ev_per_atom=0.8275 raw_formation_energy_ev_per_atom=-0.144 pbc="T T T"
Ca -7.006 2.191 -0.846
Sb -13.900 4.347 -1.679
Sb -0.113 0.035 -0.014
Cl -21.019 6.573 -2.539



[9]
8
Lattice="4.700 0.000 0.000 0.000 4.700 0.000 2.350 2.350 10.011" Properties=species:S:1:pos:R:3 comment="SrSnW2 | Alexandria | PBE-GGA | relaxed" total_magnetization_mub_per_fu=0.00 delta_e_f_ev_per_atom=1.07 pbc="T T T"
Sr 2.350 2.350 0.000
Sr 2.350 4.700 5.005
W 3.525 1.986 7.508
W 5.875 2.714 7.508
W 4.335 3.525 2.503
W 5.064 1.175 2.503
Sn 4.700 2.350 5.005
Sn 0.000 0.000 0.000



[10]
16
Lattice="-0.217 -6.260 3.479 5.249 -0.136 4.874 -7.389 4.752 8.091" Properties=species:S:1:pos:R:3 comment="La14PmY | Alexandria | PBE-GGA | relaxed" total_magnetization_mub_per_fu=0.00 delta_e_f_ev_per_atom=0.08 pbc="T T T"
La -3.200 0.366 5.679
La -2.835 -2.678 7.799
La 0.536 -2.117 1.733
La -0.470 -0.029 8.403
La 2.311 -2.709 8.165
La -0.313 -3.304 10.470
La -0.304 -3.133 5.926
La 0.153 0.033 4.584
La 3.296 -5.624 6.313
La 2.843 0.320 6.673
La -3.494 2.380 8.578
La -1.337 -0.363 12.160
La -0.971 2.773 10.850
La -4.036 -0.732 10.012
Y 3.052 -2.598 4.313
Pm 0.693 -5.240 3.711



[11]
19
Lattice="-0.720 8.767 0.069 -3.468 -2.762 -7.598 -5.221 -3.016 6.406" Properties=species:S:1:pos:R:3 comment="TlHg12Pb6 | Alexandria | PBE-GGA | relaxed" total_magnetization_mub_per_fu=0.00 delta_e_f_ev_per_atom=0.07 polymorph_energy_ev_per_atom=0.0252 pbc="T T T"
Hg -7.401 1.272 0.740
Hg -6.361 3.994 -0.724
Hg -6.996 1.331 -2.495
Hg -3.623 6.029 2.454
Hg -2.934 6.129 -3.054
Hg -5.785 -3.040 -3.577
Hg -2.007 1.718 -1.863
Hg -3.047 -1.004 -0.400
Hg -4.014 1.595 -6.070
Hg -2.412 1.659 1.371
Hg -6.474 -3.140 1.931
Hg -5.394 1.395 4.946
Tl 0.000 0.000 0.000
Pb -5.074 -0.276 2.234
Pb -5.042 3.163 2.300
Pb -6.152 -1.494 -0.797
Pb -3.256 4.484 -0.326
Pb -4.334 3.266 -3.357
Pb -4.366 -0.173 -3.424



[12]
14
Lattice="-8.430 0.706 -0.536 -4.594 -6.378 -3.173 -4.984 -4.650 5.240" Properties=species:S:1:pos:R:3 comment="KSmTm4Se8 | Alexandria | PBE-GGA | relaxed" total_magnetization_mub_per_fu=0.00 raw_formation_energy_ev_per_atom=-1.727 pbc="T T T"
Tm -6.634 -2.034 2.370
Tm -8.762 -4.119 -1.679
Tm -2.576 -2.374 2.628
Tm -4.787 -5.443 1.100
Se -9.288 -8.267 1.149
Se -6.744 -4.734 2.906
Se -6.712 -5.865 -1.137
Se -11.124 -5.496 -1.418
Se -4.535 -2.722 0.714
Se -11.413 -4.343 2.610
Se -8.719 -2.158 0.243
Se -13.491 -7.678 1.000
K -9.253 -6.230 3.274
Sm -4.974 -4.606 5.137